1.
Computed, not measured: a relaxed structure of PrSm3Y8 at the PBE-GGA level of DFT.

Cell and atoms, written as POSCAR:
```
PrSm3Y8
1.0
6.364 0.000 0.000
3.171 7.932 0.000
3.178 -0.351 7.933
Pr Sm Y
1 3 8
Cartesian
0.000 0.000 0.000
9.538 3.791 3.968
5.271 1.713 5.942
5.268 5.845 1.986
3.171 1.261 1.327
6.345 5.042 5.284
8.455 2.978 7.262
8.451 7.107 3.308
6.352 2.534 2.653
9.528 6.315 6.609
8.461 0.460 4.617
8.459 4.587 0.664
```

Output
formation enthalpy at 0 K = 15 kJ/mol of formula units
SG = No. 1



2.
Computed, not measured: a relaxed structure of LaZr2Mo at the PBE-GGA level of DFT.

Cell and atoms, written as POSCAR:
```
LaZr2Mo
1.0
3.243 0.000 0.000
0.000 4.634 0.000
-1.389 0.000 6.331
La Zr Mo
1 2 1
Cartesian
0.000 0.000 0.000
0.052 2.317 4.330
1.750 0.000 2.938
0.729 2.317 1.717
```

Output
formation enthalpy at 0 K = 107 kJ/mol of formula units
ΔE to the lowest computed polymorph = 191 meV per atom
SG = No. 6



3.
Computed, not measured: a relaxed structure of DyAl2Hg at the PBE-GGA level of DFT.

Cell and atoms, written as POSCAR:
```
DyAl2Hg
1.0
4.397 0.000 0.000
0.000 4.397 0.000
0.000 0.000 4.312
Dy Al Hg
1 2 1
Cartesian
0.000 0.000 0.000
0.000 2.199 2.156
2.199 0.000 2.156
2.199 2.199 0.000
```

Output
formation enthalpy at 0 K = -131 kJ/mol of formula units
ΔE to the lowest computed polymorph = 0 meV per atom
SG = No. 123



4.
Computed, not measured: a relaxed structure of Zn2HgTe at the PBE-GGA level of DFT.

Cell and atoms, written as POSCAR:
```
Zn2HgTe
1.0
3.923 0.000 0.000
0.000 3.953 0.000
0.000 0.000 6.506
Zn Hg Te
2 1 1
Cartesian
0.000 0.000 0.000
0.000 1.977 3.253
1.962 0.000 3.253
1.962 1.977 0.000
```

Output
energy relative to the elements, uncorrected = 0.06 eV per atom
ΔE to the lowest computed polymorph = 87 meV per atom
SG = No. 47



5.
Computed, not measured: a relaxed structure of La2ZnPd2 at the PBE-GGA level of DFT.

Cell and atoms, written as POSCAR:
```
La2ZnPd2
1.0
-1.999 1.999 7.832
1.999 -1.999 7.832
1.999 1.999 -7.832
La Zn Pd
2 1 2
Cartesian
0.000 0.000 1.727
0.000 0.000 13.937
0.000 0.000 7.832
1.999 0.000 3.916
0.000 1.999 3.916
```

Output
formation enthalpy at 0 K = -223 kJ/mol of formula units
SG = No. 139



6.
Computed, not measured: a relaxed structure of LiZn2Pt4 at the PBE-GGA level of DFT.

Cell and atoms, written as POSCAR:
```
LiZn2Pt4
1.0
-2.747 2.747 3.633
2.747 -2.747 3.633
2.747 2.747 -3.633
Li Zn Pt
1 2 4
Cartesian
0.000 0.000 0.000
2.747 0.000 0.000
0.000 2.747 0.000
1.373 1.373 -1.816
1.373 -1.373 1.816
-1.373 1.373 1.816
1.373 1.373 1.816
```

Output
formation enthalpy at 0 K = -243 kJ/mol of formula units
ΔE to the lowest computed polymorph = 0 meV per atom
SG = No. 139